Record 1
18
Lattice="-5.487 2.945 0.409 0.168 -6.180 -0.850 0.008 -1.462 10.634" Properties=species:S:1:pos:R:3 comment="HfTlAgF6 | Alexandria | GGA-PBE | relaxed" m_tot_mub_per_fu=0.14 dft_energy_ry_per_atom=-0.421 sg="No. 163" raw_formation_energy_mev_per_atom=-2792 rho_g_cm3=5.5 pbc="T T T"
F -1.737 -5.735 6.199
F -0.253 -3.276 6.536
F -1.826 -2.739 8.892
F -2.166 -1.465 3.649
F -5.101 0.417 1.629
F -3.485 -1.959 1.302
F -3.145 -3.232 6.544
F -5.058 -1.421 3.658
F -3.095 -5.313 8.539
F -0.210 -5.115 8.564
F -3.573 1.038 3.995
F -2.216 0.616 1.655
Tl 0.004 -0.731 5.317
Tl 0.000 0.000 0.000
Ag -1.715 -3.504 2.228
Ag -3.596 -1.193 7.965
Hf -1.711 -4.235 7.546
Hf -3.600 -0.462 2.648



Record 2
16
Lattice="-6.010 -4.000 -5.486 -2.499 -5.509 6.754 -6.312 5.989 2.549" Properties=species:S:1:pos:R:3 comment="MgBi | Alexandria | GGA-PBE | relaxed" m_tot_mub_per_fu=0.00 formation_energy_ev_per_atom=0.24 dft_energy_ry_per_atom=-0.183 sg="No. 217" rho_g_cm3=4.2 pbc="T T T"
Bi -6.709 3.193 2.318
Bi -6.516 -3.191 -2.817
Bi -7.807 -4.556 1.678
Bi -9.183 -0.407 0.160
Bi -4.272 -4.156 5.006
Bi -12.147 -2.884 3.129
Bi -4.736 -1.125 1.220
Bi -7.916 -0.951 4.578
Mg -10.963 0.952 -1.596
Mg -6.051 -2.797 3.250
Mg -9.462 -2.247 2.437
Mg -7.023 -2.379 -0.137
Mg -8.424 -0.140 7.257
Mg -7.107 0.385 2.086
Mg -2.051 -0.487 0.528
Mg -8.205 -7.364 1.446



Record 3
4
Lattice="-4.004 -4.082 1.473 0.479 -2.891 5.126 -3.836 1.065 4.360" Properties=species:S:1:pos:R:3 comment="AcPmSmGd | Alexandria | GGA-PBE | relaxed" m_tot_mub_per_fu=8.15 formation_energy_ev_per_atom=0.12 dft_energy_ry_per_atom=-0.499 sg="No. 216" rho_g_cm3=7.8 pbc="T T T"
Gd -5.520 -4.431 8.219
Sm -1.840 -1.477 2.740
Pm 0.000 0.000 0.000
Ac -3.680 -2.954 5.479



Record 4
12
Lattice="-4.125 4.496 1.377 -1.579 -4.593 -3.942 -2.044 -6.344 9.863" Properties=species:S:1:pos:R:3 comment="La3Dy2Y6Ho | Alexandria | GGA-PBE | relaxed" m_tot_mub_per_fu=0.00 formation_energy_ev_per_atom=0.02 dft_energy_ry_per_atom=-0.411 sg="No. 12" rho_g_cm3=6.0 pbc="T T T"
Y -2.338 -0.061 2.662
Y -2.981 -4.818 6.805
Y -1.490 -3.090 0.889
Y -5.410 -6.381 4.636
Y -4.767 -1.624 0.493
Y -6.259 -3.352 6.409
Dy -2.428 -1.563 -2.169
Dy -3.276 1.466 -0.396
La -4.723 -0.191 5.422
La -3.874 -3.221 3.649
La -3.025 -6.250 1.876
Ho 0.000 0.000 0.000



Record 5
20
Lattice="7.478 0.000 -0.304 0.000 7.926 0.000 -0.374 0.000 9.613" Properties=species:S:1:pos:R:3 comment="LiPm6Si3 | Alexandria | GGA-PBE | relaxed" m_tot_mub_per_fu=0.00 dft_energy_ry_per_atom=-0.363 sg="No. 14" raw_formation_energy_mev_per_atom=-266 rho_g_cm3=5.6 pbc="T T T"
Pm 2.214 6.606 4.015
Pm 4.891 1.320 5.294
Pm 0.918 2.558 4.118
Pm 1.760 4.771 7.227
Pm 5.766 5.284 8.669
Pm 1.418 0.808 7.040
Pm 5.344 3.155 2.082
Pm 5.686 7.119 2.269
Pm 1.339 2.643 0.640
Pm 2.634 6.521 0.536
Pm 6.186 5.369 5.191
Pm 4.470 1.405 8.773
Li 3.552 3.963 4.654
Li 0.000 0.000 0.000
Si 6.826 2.956 7.103
Si 3.274 1.007 2.448
Si -0.187 0.000 4.807
Si 3.830 6.919 6.861
Si 3.739 3.963 -0.152
Si 0.278 4.970 2.206



Record 6
10
Lattice="-4.071 2.309 -3.622 -3.998 -3.517 -2.584 -6.299 0.362 2.475" Properties=species:S:1:pos:R:3 comment="BaPaRh2O6 | Alexandria | GGA-PBE | relaxed" m_tot_mub_per_fu=0.70 dft_energy_ry_per_atom=-0.538 sg="No. 148" raw_formation_energy_mev_per_atom=-1739 rho_g_cm3=6.3 pbc="T T T"
Pa -7.184 -0.422 -1.865
O -7.817 1.541 -1.105
O -6.551 -2.386 -2.626
O -7.590 0.298 -3.903
O -6.778 -1.142 0.172
O -5.121 0.336 -1.949
O -9.246 -1.181 -1.782
Rh -3.738 -0.180 -0.749
Rh -10.630 -0.665 -2.982
Ba 0.000 0.000 0.000